{
  "formula": "Sn3Hg5I12",
  "functional": "GGA-PBE",
  "state": "relaxed",
  "lattice_angstrom": [[-9.443, 9.443, 9.443], [9.443, -9.443, 9.443], [9.443, 9.443, -9.443]],
  "species": ["Sn", "Sn", "Sn", "Sn", "Sn", "Sn", "Sn", "Sn", "Sn", "Sn", "Sn", "Sn", "Hg", "Hg", "Hg", "Hg", "Hg", "Hg", "Hg", "Hg", "Hg", "Hg", "Hg", "Hg", "Hg", "Hg", "Hg", "Hg", "Hg", "Hg", "Hg", "Hg", "I", "I", "I", "I", "I", "I", "I", "I", "I", "I", "I", "I", "I", "I", "I", "I", "I", "I", "I", "I", "I", "I", "I", "I", "I", "I", "I", "I", "I", "I", "I", "I", "I", "I", "I", "I", "I", "I", "I", "I", "I", "I", "I", "I", "I", "I", "I", "I"],
  "fractional_positions": [[0.125, 0.250, 0.375], [0.125, 0.375, 0.750], [0.250, 0.375, 0.125], [0.250, 0.875, 0.625], [0.375, 0.125, 0.250], [0.375, 0.750, 0.125], [0.625, 0.250, 0.875], [0.625, 0.875, 0.750], [0.750, 0.125, 0.375], [0.750, 0.625, 0.875], [0.875, 0.625, 0.250], [0.875, 0.750, 0.625], [0.000, 0.000, 0.000], [0.000, 0.000, 0.500], [0.000, 0.500, 0.000], [0.000, 0.500, 0.500], [0.125, 0.750, 0.875], [0.125, 0.875, 0.250], [0.250, 0.125, 0.875], [0.250, 0.625, 0.375], [0.375, 0.250, 0.625], [0.375, 0.625, 0.750], [0.500, 0.000, 0.000], [0.500, 0.000, 0.500], [0.500, 0.500, 0.000], [0.500, 0.500, 0.500], [0.625, 0.375, 0.250], [0.625, 0.750, 0.375], [0.750, 0.375, 0.625], [0.750, 0.875, 0.125], [0.875, 0.125, 0.750], [0.875, 0.250, 0.125], [0.046, 0.230, 0.129], [0.046, 0.317, 0.917], [0.083, 0.629, 0.400], [0.083, 0.954, 0.683], [0.100, 0.730, 0.683], [0.100, 0.871, 0.417], [0.129, 0.046, 0.230], [0.129, 0.583, 0.900], [0.183, 0.230, 0.600], [0.183, 0.454, 0.583], [0.230, 0.129, 0.046], [0.230, 0.600, 0.183], [0.270, 0.317, 0.900], [0.270, 0.454, 0.371], [0.317, 0.900, 0.270], [0.317, 0.917, 0.046], [0.371, 0.270, 0.454], [0.371, 0.600, 0.917], [0.400, 0.083, 0.629], [0.400, 0.817, 0.770], [0.417, 0.100, 0.871], [0.417, 0.817, 0.546], [0.454, 0.371, 0.270], [0.454, 0.583, 0.183], [0.546, 0.417, 0.817], [0.546, 0.629, 0.730], [0.583, 0.183, 0.454], [0.583, 0.900, 0.129], [0.600, 0.183, 0.230], [0.600, 0.917, 0.371], [0.629, 0.400, 0.083], [0.629, 0.730, 0.546], [0.683, 0.083, 0.954], [0.683, 0.100, 0.730], [0.730, 0.546, 0.629], [0.730, 0.683, 0.100], [0.770, 0.400, 0.817], [0.770, 0.871, 0.954], [0.817, 0.546, 0.417], [0.817, 0.770, 0.400], [0.871, 0.417, 0.100], [0.871, 0.954, 0.770], [0.900, 0.129, 0.583], [0.900, 0.270, 0.317], [0.917, 0.046, 0.317], [0.917, 0.371, 0.600], [0.954, 0.683, 0.083], [0.954, 0.770, 0.871]],
  "raw_formation_energy_ev_per_atom": -0.15,
  "total_magnetization_mub_per_cell": 0.00
}

{
  "formula": "NpRu2Pt",
  "functional": "GGA-PBE",
  "state": "relaxed",
  "lattice_angstrom": [[4.126, 0.000, 0.000], [0.000, 4.126, 0.000], [0.000, 0.000, 3.841]],
  "species": ["Np", "Ru", "Ru", "Pt"],
  "fractional_positions": [[0.000, 0.000, 0.000], [0.000, 0.500, 0.500], [0.500, 0.000, 0.500], [0.500, 0.500, 0.000]],
  "e_form_mev_per_atom": -295,
  "total_magnetization_mub_per_cell": 1.21
}

{
  "formula": "CePr3",
  "functional": "GGA-PBE",
  "state": "relaxed",
  "lattice_angstrom": [[3.656, 0.000, 0.000], [0.000, 5.984, 0.000], [0.000, 0.000, 6.434]],
  "species": ["Ce", "Pr", "Pr", "Pr"],
  "fractional_positions": [[0.000, 0.000, 0.000], [0.000, 0.500, 0.318], [0.500, 0.000, 0.504], [0.500, 0.500, 0.826]],
  "e_above_lowest_polymorph_ev_per_atom": 0.018,
  "e_form_mev_per_atom": 103,
  "total_magnetization_mub_per_cell": 1.24
}

{
  "formula": "RbMnAgCl5",
  "functional": "GGA-PBE",
  "state": "relaxed",
  "lattice_angstrom": [[4.257, -6.636, 0.000], [4.257, 6.636, 0.000], [-3.199, 0.000, 8.565]],
  "species": ["Rb", "Rb", "Mn", "Mn", "Ag", "Ag", "Cl", "Cl", "Cl", "Cl", "Cl", "Cl", "Cl", "Cl", "Cl", "Cl"],
  "fractional_positions": [[0.165, 0.835, 0.750], [0.835, 0.165, 0.250], [0.169, 0.831, 0.250], [0.831, 0.169, 0.750], [0.500, 0.500, 0.000], [0.500, 0.500, 0.500], [0.091, 0.213, 0.933], [0.204, 0.647, 0.400], [0.213, 0.091, 0.433], [0.353, 0.796, 0.100], [0.427, 0.573, 0.750], [0.573, 0.427, 0.250], [0.647, 0.204, 0.900], [0.787, 0.909, 0.567], [0.796, 0.353, 0.600], [0.909, 0.787, 0.067]],
  "raw_formation_energy_ev_per_atom": -1.08,
  "total_magnetization_mub_per_cell": 7.97
}

{
  "formula": "VCrSn",
  "functional": "GGA-PBE",
  "state": "relaxed",
  "lattice_angstrom": [[-1.593, 1.593, 4.497], [1.593, -1.593, 4.497], [1.593, 1.593, -4.497]],
  "species": ["V", "Cr", "Sn"],
  "fractional_positions": [[0.000, 0.000, 0.000], [0.627, 0.627, 0.000], [0.311, 0.311, 0.000]],
  "e_form_mev_per_atom": 96,
  "total_magnetization_mub_per_cell": 0.00
}

{
  "formula": "NbRhSeN2",
  "functional": "GGA-PBE",
  "state": "relaxed",
  "lattice_angstrom": [[3.949, 0.000, 0.000], [0.000, 3.949, 0.000], [0.000, 0.000, 5.476]],
  "species": ["Nb", "Rh", "Se", "N", "N"],
  "fractional_positions": [[0.000, 0.000, 0.000], [0.500, 0.500, 0.500], [0.000, 0.000, 0.500], [0.000, 0.500, 0.000], [0.500, 0.000, 0.000]],
  "raw_formation_energy_ev_per_atom": 0.65,
  "e_above_lowest_polymorph_ev_per_atom": 0.000,
  "total_magnetization_mub_per_cell": 0.10
}

{
  "formula": "KSiTe2",
  "functional": "GGA-PBE",
  "state": "relaxed",
  "lattice_angstrom": [[1.959, 1.131, 9.642], [-1.959, 1.131, 9.642], [0.000, -2.262, 9.642]],
  "species": ["K", "Si", "Te", "Te"],
  "fractional_positions": [[0.000, 0.000, 0.000], [0.238, 0.238, 0.238], [0.521, 0.521, 0.521], [0.757, 0.757, 0.757]],
  "raw_formation_energy_ev_per_atom": -0.01,
  "total_magnetization_mub_per_cell": 0.00
}

{
  "formula": "Zr6CuH",
  "functional": "GGA-PBE",
  "state": "relaxed",
  "lattice_angstrom": [[5.084, 0.000, 0.000], [-0.047, 5.664, 0.000], [-2.408, -0.836, 5.347]],
  "species": ["Zr", "Zr", "Zr", "Zr", "Zr", "Zr", "Cu", "H"],
  "fractional_positions": [[0.070, 0.269, 0.129], [0.237, 0.836, 0.481], [0.384, 0.373, 0.749], [0.616, 0.627, 0.251], [0.763, 0.164, 0.519], [0.930, 0.731, 0.871], [0.500, 0.000, 0.000], [0.000, 0.500, 0.500]],
  "final_energy_ev_per_cell": -59.085,
  "total_magnetization_mub_per_cell": 0.00
}

What did the second record say?
{
  "formula": "NpRu2Pt",
  "functional": "GGA-PBE",
  "state": "relaxed",
  "lattice_angstrom": [[4.126, 0.000, 0.000], [0.000, 4.126, 0.000], [0.000, 0.000, 3.841]],
  "species": ["Np", "Ru", "Ru", "Pt"],
  "fractional_positions": [[0.000, 0.000, 0.000], [0.000, 0.500, 0.500], [0.500, 0.000, 0.500], [0.500, 0.500, 0.000]],
  "e_form_mev_per_atom": -295,
  "total_magnetization_mub_per_cell": 1.21
}